Crystalline RbMg2Tl2Pb at its relaxed geometry. Source: the Alexandria database, functional PBE.

```
6
Lattice="-3.570 2.847 2.119 -1.085 -2.808 -4.035 -2.332 -7.034 5.521" Properties=species:S:1:pos:R:3 pbc="T T T"
Rb 0.000 0.000 0.000
Mg -3.369 -5.311 1.461
Mg -3.619 -1.683 2.144
Tl -2.515 -2.737 -0.559
Tl -4.473 -4.257 4.165
Pb -1.166 -3.517 2.761
```

Properties
**Calculated volume**: 202.8 Å³/f.u.
**E_form**: -0.053 eV/atom
**E_tot**: -12.9 eV/cell

Crystalline CdTcF3 at its relaxed geometry. Source: the Alexandria database, functional PBE.

```
5
Lattice="4.430 0.000 0.000 0.000 4.430 0.000 0.000 0.000 4.430" Properties=species:S:1:pos:R:3 pbc="T T T"
F 0.000 2.215 0.000
F 0.000 0.000 2.215
F 2.215 0.000 0.000
Tc 2.215 2.215 2.215
Cd 0.000 0.000 0.000
```

Properties
**Calculated volume**: 86.9 Å³/f.u.
**ΔE_f (raw)**: -854 meV/atom
**Polymorph energy (0 for the lowest one)**: 0.280 eV per atom
**E_tot**: -21.2 eV/cell

Among the records above, which one has the lowest calculated volume? CdTcF3